{"formula": "BaH3Rh", "functional": "PBE-GGA", "state": "relaxed", "lattice": [[3.1515, 0.0000, 0.0000], [0.0000, 2.3781, -5.4277], [0.0000, 2.3781, 5.4277]], "species": ["Ba", "Rh", "H", "H", "H"], "frac_coords": [[0.5000, 0.1056, 0.8944], [0.0000, 0.4252, 0.5748], [0.5000, 0.6042, 0.7817], [0.5000, 0.2183, 0.3958], [0.0000, 0.2748, 0.7252]], "total_energy_ev_per_atom": -3.884}